No. 1
This record from Alexandria via LeMat-Bulk describes an optimized crystal structure of Nd3SmTm2As6. The functional is GGA-PBE.

Calculated values
* size of the total moment: 0.00 μB per atom
* final energy: -6.157 eV per atom

Cell lengths 7.268, 12.586, 7.263 Å; angles 90.00, 109.47, 90.00 degrees
Space group C2/m (No. 12)
One atom of each set of equivalent atoms:
Nd 0.000 0.000 0.000
Nd 0.000 0.334 0.000
Sm 0.000 0.500 0.500
Tm 0.000 0.167 0.500
As 0.241 0.000 0.740
As 0.249 0.331 0.741



No. 2
This record from Alexandria via LeMat-Bulk describes an optimized crystal structure of Nd2SmUAs4. The functional is GGA-PBE.

Calculated values
* size of the total moment: 0.29 μB per atom
* final energy: -6.835 eV per atom

Cell lengths 7.288, 4.191, 7.289 Å; angles 90.00, 109.12, 90.00 degrees
Space group P2/m (No. 10)
One atom of each set of equivalent atoms:
Nd 0.000 0.000 0.000
Nd 0.500 0.500 0.000
Sm 0.000 0.500 0.500
U 0.500 0.000 0.500
As 0.255 0.000 0.741
As 0.258 0.500 0.261



No. 3
This record from Alexandria via LeMat-Bulk describes an optimized crystal structure of NdSm2Y3As6. The functional is GGA-PBE.

Calculated values
* size of the total moment: 0.00 μB per atom
* final energy: -6.662 eV per atom

Cell lengths 7.242, 12.540, 7.236 Å; angles 90.00, 109.46, 90.00 degrees
Space group C2/m (No. 12)
One atom of each set of equivalent atoms:
Nd 0.000 0.000 0.000
Sm 0.000 0.333 0.000
Y 0.000 0.166 0.500
Y 0.000 0.500 0.500
As 0.247 0.332 0.744
As 0.250 0.000 0.744



No. 4
This record from Alexandria via LeMat-Bulk describes an optimized crystal structure of NdSm3Y2As6. The functional is GGA-PBE.

Calculated values
* size of the total moment: 0.00 μB per atom
* final energy: -6.510 eV per atom

Cell lengths 7.267, 12.585, 7.266 Å; angles 90.00, 109.46, 90.00 degrees
Space group C2/m (No. 12)
One atom of each set of equivalent atoms:
Nd 0.000 0.000 0.000
Sm 0.000 0.166 0.500
Sm 0.000 0.500 0.500
Y 0.000 0.333 0.000
As 0.244 0.500 0.247
As 0.248 0.331 0.752



No. 5
This record from Alexandria via LeMat-Bulk describes an optimized crystal structure of Nd2SmY3As6. The functional is GGA-PBE.

Calculated values
* size of the total moment: 0.00 μB per atom
* final energy: -6.662 eV per atom

Cell lengths 18.253, 4.192, 8.374 Å; angles 90.00, 103.20, 90.00 degrees
Space group C2/m (No. 12)
One atom of each set of equivalent atoms:
Nd 0.166 0.000 0.333
Sm 0.000 0.500 0.000
Y 0.000 0.500 0.500
Y 0.167 0.000 0.833
As 0.002 0.000 0.748
As 0.165 0.500 0.588
As 0.168 0.500 0.078



No. 6
This record from Alexandria via LeMat-Bulk describes an optimized crystal structure of Nd2SmYAs4. The functional is GGA-PBE.

Calculated values
* size of the total moment: 0.00 μB per atom
* final energy: -6.439 eV per atom

Cell lengths 7.310, 4.225, 7.311 Å; angles 90.00, 109.47, 90.00 degrees
Space group P2/m (No. 10)
One atom of each set of equivalent atoms:
Nd 0.000 0.000 0.000
Nd 0.000 0.500 0.500
Sm 0.500 0.000 0.500
Y 0.500 0.500 0.000
As 0.255 0.500 0.249
As 0.257 0.000 0.755



Which formula does entry 2 have? Nd2SmUAs4